Here is a relaxed Pm5Tm3 crystal from Alexandria. Energies are from PBE.

Unit cell a=5.041 b=5.094 c=10.176 alpha=90.00 beta=90.00 gamma=90.00
Element x y z (fractional)
Pm 0.000 0.500 0.748
Pm 0.000 0.000 0.000
Tm 0.500 0.000 0.747
Pm 0.500 0.500 0.000
Tm 0.500 0.000 0.253
Pm 0.000 0.000 0.500
Pm 0.000 0.500 0.252
Tm 0.500 0.500 0.500

- Volume: 261 Å³ per cell
- Excess energy over the best structure of this formula in the dataset: 0.0 meV/atom
- Formation enthalpy at 0 K: 0.02 eV per atom
- Total moment: 0.00 μB per cell